This record from the Alexandria database describes a relaxed W3C crystal. The functional is PBE-GGA.

Properties
**Crystal system**: orthorhombic
**DOS at the Fermi energy**: 2.72 states/eV per cell
**E above lowest polymorph**: 6.85 kcal/mol of atoms
**Electronic total energy**: -46.32 eV/cell
**DFT formation energy**: 1.76 eV per formula unit

abc: 2.8089 2.8089 7.5943
angles: 90.00 90.00 113.62
Last column: nearest neighbours and their distance in Å.
Fractional coordinates of all 4 atoms:
C (0.0000, 0.0000, 0.0000)  4 W 2.14
W (0.5000, 0.5000, 0.8046)  2 C 2.14
W (0.5000, 0.5000, 0.1954)  2 C 2.14
W (0.0000, 0.0000, 0.5000)  10 W 2.78-3.08

***

This record from the Alexandria database describes a relaxed WC crystal. The functional is PBE-GGA.

Properties
**Crystal system**: hexagonal
**DOS at the Fermi energy**: 4.30 states/eV per cell
**E above lowest polymorph**: 37.16 kcal/mol of atoms
**Electronic total energy**: -76.84 eV/cell
**DFT formation energy**: 2.97 eV per formula unit

abc: 3.1813 3.1813 10.0347
angles: 90.00 90.00 120.00
Last column: nearest neighbours and their distance in Å.
Fractional coordinates of all 8 atoms:
W (0.6667, 0.3333, 0.8877)  6 C 2.30
W (0.3333, 0.6667, 0.1123)  6 C 2.30
C (0.6667, 0.3333, 0.2500)  3 C 1.84
C (0.0000, 0.0000, 0.7500)  3 C 1.84
C (0.0000, 0.0000, 0.2500)  3 C 1.84
W (0.3333, 0.6667, 0.3877)  6 C 2.30
C (0.3333, 0.6667, 0.7500)  3 C 1.84
W (0.6667, 0.3333, 0.6123)  6 C 2.30

***

This record from the Alexandria database describes a relaxed WC3 crystal. The functional is PBE-GGA.

Properties
**Crystal system**: orthorhombic
**DOS at the Fermi energy**: 1.50 states/eV per cell
**E above lowest polymorph**: 18.33 kcal/mol of atoms
**Electronic total energy**: -33.60 eV/cell
**DFT formation energy**: 7.03 eV per formula unit

abc: 3.9184 3.9184 3.9184
angles: 141.31 118.38 75.18
Last column: nearest neighbours and their distance in Å.
Fractional coordinates of all 4 atoms:
C (0.8167, 0.8167, 0.0000)  2 C 1.73
C (0.1833, 0.1833, 0.0000)  2 C 1.73
C (0.0000, 0.5000, 0.5000)  4 C 1.73
W (0.5000, 0.0000, 0.5000)  12 C 2.31-2.39

***

This record from the Alexandria database describes a relaxed W3C crystal. The functional is PBE-GGA.

Properties
**Crystal system**: hexagonal
**DOS at the Fermi energy**: 3.85 states/eV per cell
**E above lowest polymorph**: 25.71 kcal/mol of atoms
**Electronic total energy**: -86.10 eV/cell
**DFT formation energy**: 5.03 eV per formula unit

abc: 5.3456 5.3456 4.4912
angles: 90.00 90.00 120.00
Last column: nearest neighbours and their distance in Å.
Fractional coordinates of all 8 atoms:
W (0.1669, 0.8331, 0.7500)  8 W 2.67-2.73, 4 C 2.67-2.72
C (0.6667, 0.3333, 0.7500)  12 W 2.67-2.72
W (0.8331, 0.1669, 0.2500)  8 W 2.67-2.73, 4 C 2.67-2.72
W (0.1669, 0.3339, 0.7500)  8 W 2.67-2.73, 4 C 2.67-2.72
C (0.3333, 0.6667, 0.2500)  12 W 2.67-2.72
W (0.3339, 0.1669, 0.2500)  8 W 2.67-2.73, 4 C 2.67-2.72
W (0.6661, 0.8331, 0.7500)  8 W 2.67-2.73, 4 C 2.67-2.72
W (0.8331, 0.6661, 0.2500)  8 W 2.67-2.73, 4 C 2.67-2.72

***

This record from the Alexandria database describes a relaxed WC3 crystal. The functional is PBE-GGA.

Properties
**Crystal system**: trigonal
**DOS at the Fermi energy**: 2.38 states/eV per cell
**E above lowest polymorph**: 31.31 kcal/mol of atoms
**Electronic total energy**: -31.35 eV/cell
**DFT formation energy**: 9.28 eV per formula unit

abc: 3.9170 3.9170 3.9170
angles: 113.50 113.50 113.50
Last column: nearest neighbours and their distance in Å.
Fractional coordinates of all 4 atoms:
C (0.5000, 0.5000, 0.0000)  4 C 2.15, 2 W 2.15
C (0.5000, 0.0000, 0.5000)  4 C 2.15, 2 W 2.15
W (0.0000, 0.5000, 0.5000)  6 C 2.15
C (0.0000, 0.0000, 0.0000)  2 W 2.15, 4 C 2.15

***

This record from the Alexandria database describes a relaxed W4C3 crystal. The functional is PBE-GGA.

Properties
**Crystal system**: tetragonal
**DOS at the Fermi energy**: 4.30 states/eV per cell
**E above lowest polymorph**: 6.21 kcal/mol of atoms
**Electronic total energy**: -75.96 eV/cell
**DFT formation energy**: 3.52 eV per formula unit

abc: 9.9225 9.9225 9.9225
angles: 163.22 163.22 23.82
Last column: nearest neighbours and their distance in Å.
Fractional coordinates of all 7 atoms:
C (0.0000, 0.0000, 0.0000)  8 W 2.42
W (0.5669, 0.5669, 0.0000)  5 C 2.42-2.63, 1 W 2.60
W (0.1763, 0.1763, 0.0000)  4 C 2.11
W (0.4331, 0.4331, 0.0000)  5 C 2.42-2.63, 1 W 2.60
C (0.2979, 0.2979, 0.0000)  4 W 2.11
W (0.8237, 0.8237, 0.0000)  4 C 2.11
C (0.7021, 0.7021, 0.0000)  4 W 2.11

***

What is the formula in the first record? W3C